Material: ZrCdHg2
Method: DFT, meta-GGA SCAN
State: single point on PBEsol structure

Summary:
density: 12.0 Mg/m³
size of the total moment: 0.0 μB per formula unit
formation energy from the elements: -0.1380 eV/atom
total energy: -49.499 eV/atom
calculated volume: 167.25 Å³ per cell

Unit cell a=6.3460 b=8.7008 c=3.0291 alpha=90.00 beta=90.00 gamma=90.00
Space group Cmmm (No. 65)
One atom of each set of equivalent atoms:
Zr 0.0000 0.0000 0.0000 (multiplicity 2)
Cd 0.0000 0.5000 0.0000 (multiplicity 2)
Hg 0.2500 0.2500 0.5000 (multiplicity 4)